1.
# TbCe2Rh (GGA-PBE, relaxed)
# **Crystal system**: trigonal
# **SG**: R3m, No. 160
# **V**: 113.42 Å³ per cell
# **Total magnetization**: 0.1 μB/f.u.
# **Calculated formation energy**: -246 meV/atom
data_TbCe2Rh
_chemical_formula_sum 'Tb1 Ce2 Rh1'
_cell_length_a 3.7923
_cell_length_b 3.7923
_cell_length_c 9.3659
_cell_angle_alpha 78.32
_cell_angle_beta 78.32
_cell_angle_gamma 60.00
_symmetry_space_group_name_H-M 'P 1'
_symmetry_Int_Tables_number 1
loop_
_symmetry_equiv_pos_as_xyz
'x,y,z'
loop_
_atom_site_label
_atom_site_type_symbol
_atom_site_fract_x
_atom_site_fract_y
_atom_site_fract_z
Tb1 Tb 0.4994 0.4994 0.5018
Ce1 Ce 0.0638 0.0638 0.8087
Ce2 Ce 0.2696 0.2696 0.1911
Rh1 Rh 0.6672 0.6672 0.9984


2.
# Dy12Co6Sb (GGA-PBE, relaxed)
# **Crystal system**: cubic
# **SG**: Im-3, No. 204
# **V**: 451.91 Å³ per cell
# **Energy**: -5.678 eV/atom
# **Total magnetization**: 0.0 μB/f.u.
data_Dy12Co6Sb
_chemical_formula_sum 'Dy12 Co6 Sb1'
_cell_length_a 8.3732
_cell_length_b 8.3732
_cell_length_c 8.3732
_cell_angle_alpha 109.47
_cell_angle_beta 109.47
_cell_angle_gamma 109.47
_symmetry_space_group_name_H-M 'P 1'
_symmetry_Int_Tables_number 1
loop_
_symmetry_equiv_pos_as_xyz
'x,y,z'
loop_
_atom_site_label
_atom_site_type_symbol
_atom_site_fract_x
_atom_site_fract_y
_atom_site_fract_z
Dy1 Dy 0.3047 0.1090 0.8043
Dy2 Dy 0.3047 0.5004 0.1957
Dy3 Dy 0.6953 0.4996 0.8043
Dy4 Dy 0.6953 0.8910 0.1957
Dy5 Dy 0.1090 0.8043 0.3047
Dy6 Dy 0.5004 0.1957 0.3047
Dy7 Dy 0.4996 0.8043 0.6953
Dy8 Dy 0.8910 0.1957 0.6953
Dy9 Dy 0.8043 0.3047 0.1090
Dy10 Dy 0.1957 0.3047 0.5004
Dy11 Dy 0.8043 0.6953 0.4996
Dy12 Dy 0.1957 0.6953 0.8910
Co1 Co 0.3871 0.5000 0.8871
Co2 Co 0.6129 0.5000 0.1129
Co3 Co 0.5000 0.8871 0.3871
Co4 Co 0.5000 0.1129 0.6129
Co5 Co 0.8871 0.3871 0.5000
Co6 Co 0.1129 0.6129 0.5000
Sb1 Sb 0.0000 0.0000 0.0000


3.
# CaZr2Cl (GGA-PBE, relaxed)
# **Crystal system**: tetragonal
# **SG**: I-42d, No. 122
# **V**: 215.69 Å³ per cell
# **Energy**: -5.341 eV/atom
# **Total magnetization**: 0.0 μB/f.u.
data_CaZr2Cl
_chemical_formula_sum 'Ca2 Zr4 Cl2'
_cell_length_a 4.0124
_cell_length_b 4.0124
_cell_length_c 13.6946
_cell_angle_alpha 81.58
_cell_angle_beta 81.58
_cell_angle_gamma 90.00
_symmetry_space_group_name_H-M 'P 1'
_symmetry_Int_Tables_number 1
loop_
_symmetry_equiv_pos_as_xyz
'x,y,z'
loop_
_atom_site_label
_atom_site_type_symbol
_atom_site_fract_x
_atom_site_fract_y
_atom_site_fract_z
Ca1 Ca 0.0000 0.0000 0.0000
Ca2 Ca 0.7500 0.2500 0.5000
Zr1 Zr 0.6268 0.1250 0.2500
Zr2 Zr 0.1232 0.6250 0.2500
Zr3 Zr 0.3750 0.3732 0.7500
Zr4 Zr 0.8750 0.8768 0.7500
Cl1 Cl 0.5000 0.5000 0.0000
Cl2 Cl 0.2500 0.7500 0.5000